ScCrSi3 | GGA-PBEsol | optimized geometry

Lattice parameters (Å, degrees): 4.3728 4.3728 4.3728 90.00 90.00 90.00
Closest atoms and distances in Å follow each position.
Fractional coordinates of all 5 atoms:
Cr (0.0000, 0.0000, 0.0000)  6 Si 2.19
Si (0.5000, 0.0000, 0.0000)  2 Cr 2.19
Si (0.0000, 0.0000, 0.5000)  2 Cr 2.19
Si (0.0000, 0.5000, 0.0000)  2 Cr 2.19
Sc (0.5000, 0.5000, 0.5000)  12 Si 3.09

symmetry	Pm-3m
density of states at the Fermi level	3.75	states/eV per cell
formation energy from raw total energies	0.1030	eV per atom

=====

ScNiAs3 | GGA-PBEsol | optimized geometry

Lattice parameters (Å, degrees): 4.5693 4.5693 4.5693 90.00 90.00 90.00
Closest atoms and distances in Å follow each position.
Fractional coordinates of all 5 atoms:
Ni (0.0000, 0.0000, 0.0000)  6 As 2.28
Sc (0.5000, 0.5000, 0.5000)  12 As 3.23
As (0.0000, 0.0000, 0.5000)  2 Ni 2.28
As (0.5000, 0.0000, 0.0000)  2 Ni 2.28
As (0.0000, 0.5000, 0.0000)  2 Ni 2.28

energy relative to the elements	-0.0240	eV per atom
symmetry	Pm-3m
density of states at the Fermi level	3.61	states/eV per cell

=====

Ho2ReC2 | GGA-PBEsol | optimized geometry

Lattice parameters (Å, degrees): 5.0254 6.4877 9.7034 90.00 90.00 90.00
Closest atoms and distances in Å follow each position.
Fractional coordinates of all 20 atoms:
Ho (0.2500, 0.4669, 0.2157)  4 C 2.47-2.62
Ho (0.7500, 0.0331, 0.7157)  4 C 2.47-2.62
Ho (0.7500, 0.1783, 0.0562)  5 C 2.46-2.52
Ho (0.2500, 0.3217, 0.5562)  5 C 2.46-2.52
Ho (0.2500, 0.8217, 0.9438)  5 C 2.46-2.52
Ho (0.7500, 0.5331, 0.7843)  4 C 2.47-2.62
Ho (0.7500, 0.6783, 0.4438)  5 C 2.46-2.52
Ho (0.2500, 0.9669, 0.2843)  4 C 2.47-2.62
C (0.2500, 0.5491, 0.7588)  2 Re 1.95-2.03
C (0.7500, 0.4509, 0.2412)  2 Re 1.95-2.03
C (0.2500, 0.6741, 0.4473)  1 Re 1.93
C (0.7500, 0.8259, 0.9473)  1 Re 1.93
C (0.2500, 0.1741, 0.0527)  1 Re 1.93
C (0.2500, 0.0491, 0.7412)  2 Re 1.95-2.03
C (0.7500, 0.9509, 0.2588)  2 Re 1.95-2.03
C (0.7500, 0.3259, 0.5527)  1 Re 1.93
Re (0.2500, 0.7823, 0.6320)  3 C 1.93-2.03
Re (0.7500, 0.2177, 0.3680)  3 C 1.93-2.03
Re (0.7500, 0.7177, 0.1320)  3 C 1.93-2.03
Re (0.2500, 0.2823, 0.8680)  3 C 1.93-2.03

energy relative to the elements	-0.4687	eV per atom
symmetry	Pnma
density of states at the Fermi level	7.05	states/eV per cell

=====

LiLaFe2 | GGA-PBEsol | optimized geometry

Lattice parameters (Å, degrees): 4.5112 4.5141 4.5112 60.02 90.00 119.98
Closest atoms and distances in Å follow each position.
Fractional coordinates of all 4 atoms:
La (0.5000, 0.0000, 0.5000)  4 Li 2.76, 4 Fe 2.76
Fe (0.0000, 0.0000, 0.0000)  4 Fe 2.76, 4 Li 2.76
Fe (0.2500, 0.5000, 0.2500)  4 Fe 2.76, 4 La 2.76
Li (0.7500, 0.5000, 0.7500)  4 La 2.76, 4 Fe 2.76

energy relative to the elements	0.4259	eV per atom
symmetry	F-43m
density of states at the Fermi level	4.10	states/eV per cell
ΔE to the lowest computed polymorph	90.3	meV/atom

=====

Li5Cu6P8O28 | GGA-PBEsol | optimized geometry

Lattice parameters (Å, degrees): 6.1871 8.2968 10.1289 104.41 91.22 92.95
Closest atoms and distances in Å follow each position.
Fractional coordinates of all 47 atoms:
O (0.7807, 0.6063, 0.9727)  1 P 1.54
O (0.4582, 0.4078, 0.6631)  2 P 1.63
O (0.7094, 0.1846, 0.5826)  1 P 1.50
O (0.6086, 0.2723, 0.8327)  1 P 1.55
O (0.7709, 0.6301, 0.5907)  1 P 1.53
O (0.3235, 0.1152, 0.6529)  1 P 1.53
O (0.3354, 0.0895, 0.9858)  1 P 1.55
O (0.3996, 0.1067, 0.2817)  1 P 1.52
O (0.5418, 0.5922, 0.3369)  2 P 1.63
O (0.2193, 0.3937, 0.0273)  1 P 1.54
O (0.9543, 0.1594, 0.9309)  1 P 1.52
O (0.6765, 0.8848, 0.3471)  1 P 1.53
O (0.0668, 0.4048, 0.7290)  1 P 1.51
O (0.9202, 0.7919, 0.8250)  2 P 1.60-1.62
O (0.3505, 0.6169, 0.8776)  1 P 1.52
O (0.3914, 0.7277, 0.1673)  1 P 1.55
O (0.2291, 0.3699, 0.4093)  1 P 1.53
O (0.2426, 0.6342, 0.6352)  1 P 1.57
O (0.0457, 0.8406, 0.0691)  1 P 1.52
O (0.0176, 0.0932, 0.3767)  1 P 1.53
O (0.6004, 0.8933, 0.7183)  1 P 1.52
O (0.6495, 0.3831, 0.1224)  1 P 1.52
O (0.9332, 0.5952, 0.2710)  1 P 1.51
O (0.2906, 0.8154, 0.4174)  1 P 1.50
O (0.9824, 0.9068, 0.6233)  1 P 1.53
O (0.6646, 0.9105, 0.0142)  1 P 1.55
O (0.7574, 0.3658, 0.3648)  1 P 1.57
O (0.0798, 0.2081, 0.1750)  2 P 1.60-1.62
P (0.8466, 0.7879, 0.9746)  4 O 1.52-1.60
P (0.1534, 0.2121, 0.0254)  4 O 1.52-1.60
P (0.8105, 0.8069, 0.6818)  4 O 1.52-1.62
P (0.5305, 0.2283, 0.6810)  4 O 1.50-1.63
P (0.7340, 0.4796, 0.2635)  4 O 1.51-1.63
P (0.4695, 0.7717, 0.3190)  4 O 1.50-1.63
P (0.1895, 0.1931, 0.3182)  4 O 1.52-1.62
P (0.2660, 0.5204, 0.7365)  4 O 1.51-1.63
Cu (0.3545, 0.8899, 0.0599)  4 O 1.94-1.99
Cu (0.5000, 0.5000, 0.0000)  4 O 1.96-1.99
Cu (0.3038, 0.8762, 0.6427)  4 O 1.96-2.03
Cu (0.6455, 0.1101, 0.9401)  4 O 1.94-1.99
Cu (0.6962, 0.1238, 0.3573)  4 O 1.96-2.03
Cu (0.0000, 0.5000, 0.5000)  4 O 1.93-2.09
Li (0.9844, 0.8468, 0.3852)  4 O 1.96-2.12
Li (0.0156, 0.1532, 0.6148)  4 O 1.96-2.12
Li (0.1001, 0.6155, 0.1210)  4 O 1.89-2.10
Li (0.8999, 0.3845, 0.8790)  4 O 1.89-2.10
Li (0.5000, 0.5000, 0.5000)  4 O 2.00-2.02

symmetry	P-1
density of states at the Fermi level	6.47	states/eV per cell
formation energy from raw total energies	-1.8491	eV per atom

=====

NaScB4H16 | GGA-PBEsol | optimized geometry

Lattice parameters (Å, degrees): 6.9661 6.9661 8.5442 90.00 90.00 111.15
Closest atoms and distances in Å follow each position.
Fractional coordinates of all 44 atoms:
B (0.2889, 0.2377, 0.7500)  4 H 1.21-1.24
B (0.7553, 0.2447, 0.5314)  4 H 1.21-1.25
B (0.7623, 0.7111, 0.7500)  4 H 1.21-1.24
B (0.2447, 0.7553, 0.0314)  4 H 1.21-1.25
B (0.2447, 0.7553, 0.4686)  4 H 1.21-1.25
B (0.7111, 0.7623, 0.2500)  4 H 1.21-1.24
B (0.7553, 0.2447, 0.9686)  4 H 1.21-1.25
B (0.2377, 0.2889, 0.2500)  4 H 1.21-1.24
H (0.3535, 0.8995, 0.1156)  1 B 1.25
H (0.0978, 0.3591, 0.2500)  1 B 1.24
H (0.1025, 0.1735, 0.7500)  1 B 1.21
H (0.1005, 0.6465, 0.1156)  1 B 1.25
H (0.9022, 0.6409, 0.7500)  1 B 1.24
H (0.6503, 0.3497, 0.0009)  1 B 1.24
H (0.6465, 0.1005, 0.8844)  1 B 1.25
H (0.3474, 0.3592, 0.3660)  1 B 1.24
H (0.3592, 0.3474, 0.6340)  1 B 1.24
H (0.3474, 0.3592, 0.1340)  1 B 1.24
H (0.6408, 0.6526, 0.1340)  1 B 1.24
H (0.3535, 0.8995, 0.3844)  1 B 1.25
H (0.1735, 0.1025, 0.2500)  1 B 1.21
H (0.8995, 0.3535, 0.8844)  1 B 1.25
H (0.8975, 0.8265, 0.2500)  1 B 1.21
H (0.3497, 0.6503, 0.5009)  1 B 1.24
H (0.3497, 0.6503, 0.9991)  1 B 1.24
H (0.3592, 0.3474, 0.8660)  1 B 1.24
H (0.6526, 0.6408, 0.6340)  1 B 1.24
H (0.8995, 0.3535, 0.6156)  1 B 1.25
H (0.8265, 0.8975, 0.7500)  1 B 1.21
H (0.1005, 0.6465, 0.3844)  1 B 1.25
H (0.3591, 0.0978, 0.7500)  1 B 1.24
H (0.6526, 0.6408, 0.8660)  1 B 1.24
H (0.8123, 0.1877, 0.4127)  1 B 1.21
H (0.1877, 0.8123, 0.5873)  1 B 1.21
H (0.6408, 0.6526, 0.3660)  1 B 1.24
H (0.6465, 0.1005, 0.6156)  1 B 1.25
H (0.1877, 0.8123, 0.9127)  1 B 1.21
H (0.6409, 0.9022, 0.2500)  1 B 1.24
H (0.6503, 0.3497, 0.4991)  1 B 1.24
H (0.8123, 0.1877, 0.0873)  1 B 1.21
Na (0.0000, 0.0000, 0.5000)  6 H 2.28-2.43
Na (0.0000, 0.0000, 0.0000)  6 H 2.28-2.43
Sc (0.6420, 0.3580, 0.7500)  12 H 2.14-2.18, 4 B 2.28-2.29
Sc (0.3580, 0.6420, 0.2500)  12 H 2.14-2.18, 4 B 2.28-2.29

symmetry	Cmcm
total DFT energy (no corrections)	-4.288	eV per atom
density of states at the Fermi level	0.00	states/eV per cell